1.
DFT (PBEsol) results for Ba2B6H4O13 after structural relaxation.

a b c (Å): 6.792 8.452 8.717
angles (deg): 90.00 90.00 100.80
Fractional positions:
O1 0.248 0.466 0.203
O2 0.061 0.083 0.707
B1 0.141 0.055 0.567
H1 0.671 0.262 0.986
B2 0.073 0.056 0.286
O3 0.008 0.033 0.447
O4 0.411 0.017 0.879
H2 0.626 0.992 0.270
H3 0.804 0.387 0.236
B3 0.909 0.635 0.796
O5 0.661 0.956 0.048
B4 0.353 0.408 0.503
O6 0.285 0.040 0.270
Ba1 0.753 0.236 0.574
B5 0.859 0.945 0.067
O7 0.992 0.967 0.947
O8 0.269 0.792 0.401
O9 0.715 0.960 0.770
O10 0.593 0.592 0.157
H4 0.329 0.738 0.486
Ba2 0.808 0.715 0.433
O11 0.731 0.208 0.901
O12 0.339 0.044 0.548
O13 0.407 0.408 0.657
H5 0.196 0.613 0.736
B6 0.647 0.592 0.003
O14 0.502 0.452 0.395
O15 0.842 0.641 0.960
O16 0.090 0.562 0.807
B7 0.927 0.944 0.786
O17 0.589 0.983 0.379
H6 0.374 0.008 0.770
B8 0.629 0.037 0.897
O18 0.752 0.534 0.703
Ba3 0.247 0.764 0.074
O19 0.963 0.795 0.724
O20 0.037 0.205 0.224
B9 0.457 0.452 0.226
O21 0.158 0.359 0.460
H7 0.563 0.795 0.703
H8 0.437 0.205 0.203
O22 0.910 0.438 0.307
O23 0.939 0.917 0.207
B10 0.371 0.963 0.397
Ba4 0.192 0.285 0.933
O24 0.489 0.693 0.654
O25 0.498 0.548 0.895
B11 0.543 0.548 0.726
O26 0.511 0.307 0.154
B12 0.091 0.365 0.296

Properties
Calculated density ... 3.73 Mg/m³
DFT total energy ... -371.19 eV per cell
Magnetic moment ... 0.00 μB per atom
Space group ... No. 4
Volume ... 491.53 Å³/cell

2.
DFT (PBEsol) results for TiBOF2 after structural relaxation.

a b c (Å): 3.780 3.971 3.971
angles (deg): 90.00 90.00 90.00
Each line ends with the local moment (μB).
Fractional positions:
F1 0.000 0.000 0.500  0.00
F2 0.000 0.500 0.000  0.00
B1 0.500 0.500 0.500  0.14
Ti1 0.000 0.000 0.000  0.59
O1 0.500 0.000 0.000  -0.05

Properties
Calculated density ... 3.14 Mg/m³
Magnetic moment ... 0.18 μB per atom
Formation energy without anion corrections ... -1385 meV/atom
Space group ... No. 123
Volume ... 59.62 Å³/cell

3.
DFT (PBEsol) results for Na3GaBi after structural relaxation.

a b c (Å): 5.850 5.850 5.850
angles (deg): 90.00 90.00 90.00
Fractional positions:
Na1 0.000 0.000 0.500
Na2 0.500 0.000 0.000
Na3 0.000 0.500 0.000
Ga1 0.500 0.500 0.500
Bi1 0.000 0.000 0.000

Properties
ΔE_f ... 0.2125 eV/atom
Calculated density ... 2.88 Mg/m³
Magnetic moment ... 0.00 μB per atom
Space group ... No. 221
Volume ... 200.17 Å³/cell

4.
DFT (PBEsol) results for TbPPd after structural relaxation.

a b c (Å): 3.988 6.831 7.657
angles (deg): 90.00 90.00 90.00
Fractional positions:
Tb1 0.750 0.526 0.813
Tb2 0.250 0.474 0.187
Pd1 0.250 0.354 0.561
Pd2 0.750 0.146 0.061
P1 0.250 0.244 0.879
Pd3 0.750 0.646 0.439
P2 0.250 0.744 0.621
Tb3 0.250 0.974 0.313
Tb4 0.750 0.026 0.687
P3 0.750 0.756 0.121
Pd4 0.250 0.854 0.939
P4 0.750 0.256 0.379

Properties
ΔE_f ... -1.3286 eV/atom
Calculated density ... 9.44 Mg/m³
Magnetic moment ... 0.00 μB per atom
Space group ... No. 62
Volume ... 208.60 Å³/cell

5.
DFT (PBEsol) results for Rb2HPdPb after structural relaxation.

a b c (Å): 4.969 5.027 5.027
angles (deg): 90.00 90.00 90.00
Fractional positions:
H1 0.000 0.000 0.000
Rb1 0.000 0.500 0.000
Pd1 0.500 0.500 0.500
Rb2 0.000 0.000 0.500
Pb1 0.500 0.000 0.000

Properties
Calculated density ... 6.42 Mg/m³
DFT total energy ... -14.05 eV per cell
Magnetic moment ... 0.00 μB per atom
Space group ... No. 123
Volume ... 125.56 Å³/cell

6.
DFT (PBEsol) results for TcAg5 after structural relaxation.

a b c (Å): 2.708 5.521 6.856
angles (deg): 104.55 90.00 104.20
Each line ends with the local moment (μB).
Fractional positions:
Ag1 0.331 0.661 0.664  0.00
Ag2 0.060 0.120 0.619  0.00
Tc1 0.725 0.450 0.950  0.23
Ag3 0.999 0.999 0.993  0.01
Ag4 0.663 0.326 0.327  0.00
Ag5 0.389 0.778 0.280  0.00

Properties
ΔE_f ... 0.3218 eV/atom
Calculated density ... 11.03 Mg/m³
Magnetic moment ... 0.04 μB per atom
Space group ... No. 8
Volume ... 95.96 Å³/cell

Which formula does entry 2 have?
TiBOF2

Please write out number 6 again, unchanged.
DFT (PBEsol) results for TcAg5 after structural relaxation.

a b c (Å): 2.708 5.521 6.856
angles (deg): 104.55 90.00 104.20
Each line ends with the local moment (μB).
Fractional positions:
Ag1 0.331 0.661 0.664  0.00
Ag2 0.060 0.120 0.619  0.00
Tc1 0.725 0.450 0.950  0.23
Ag3 0.999 0.999 0.993  0.01
Ag4 0.663 0.326 0.327  0.00
Ag5 0.389 0.778 0.280  0.00

Properties
ΔE_f ... 0.3218 eV/atom
Calculated density ... 11.03 Mg/m³
Magnetic moment ... 0.04 μB per atom
Space group ... No. 8
Volume ... 95.96 Å³/cell

Number 2 is which compound?
TiBOF2